# 1
Tm5Ir3, optimized geometry, DFT PBE; symmetry = P4/ncc (130); calculated density = 13.0 g cm⁻³; energy relative to the lowest polymorph listed for this composition = 0.0 kJ/mol of atoms; DFT formation energy = -7.01 eV/f.u.; density of states at the Fermi level = 4.19 states/eV/f.u.
1.0
10.747 0.000 0.000
0.000 10.747 0.000
0.000 0.000 6.294
Tm Ir
20 12
Cartesian
0.445 1.749 0.772 Tm
0.445 3.624 3.919 Tm
1.749 0.445 3.919 Tm
1.749 4.929 0.772 Tm
2.687 8.061 0.000 Tm
2.687 8.061 3.147 Tm
3.624 0.445 0.772 Tm
3.624 4.929 3.919 Tm
4.929 1.749 3.919 Tm
4.929 3.624 0.772 Tm
5.818 7.123 5.522 Tm
5.818 8.998 2.375 Tm
7.123 5.818 2.375 Tm
7.123 10.303 5.522 Tm
8.061 2.687 0.000 Tm
8.061 2.687 3.147 Tm
8.998 5.818 5.522 Tm
8.998 10.303 2.375 Tm
10.303 7.123 2.375 Tm
10.303 8.998 5.522 Tm
1.035 6.408 4.720 Ir
1.035 9.713 1.573 Ir
2.687 2.687 2.368 Ir
2.687 2.687 5.515 Ir
4.339 6.408 1.573 Ir
4.339 9.713 4.720 Ir
6.408 1.035 1.573 Ir
6.408 4.339 4.720 Ir
8.061 8.061 0.779 Ir
8.061 8.061 3.926 Ir
9.713 1.035 4.720 Ir
9.713 4.339 1.573 Ir

***

# 2
TaB2Pt, optimized geometry, DFT PBE; symmetry = I-42d (122); calculated density = 11.5 g cm⁻³; DFT formation energy = 1.64 eV/f.u.; density of states at the Fermi level = 2.12 states/eV/f.u.
1.0
-2.232 2.232 5.775
2.232 -2.232 5.775
2.232 2.232 -5.775
Ta B Pt
2 4 2
Cartesian
0.000 0.000 0.000 Ta
0.000 2.232 2.887 Ta
1.116 -0.920 4.331 B
1.312 1.116 1.444 B
1.116 3.152 -1.444 B
0.920 1.116 7.219 B
2.232 0.000 2.887 Pt
0.000 0.000 5.775 Pt

***

# 3
CdCSN2, optimized geometry, DFT PBE; symmetry = P4/mmm (123); calculated density = 4.2 g cm⁻³; energy relative to the lowest polymorph listed for this composition = 0.0 kJ/mol of atoms; density of states at the Fermi level = 2.15 states/eV/f.u.
1.0
3.355 0.000 0.000
0.000 3.355 0.000
0.000 0.000 6.535
Cd C S N
1 1 1 2
Cartesian
0.000 0.000 0.000 Cd
1.677 1.677 3.268 C
1.677 1.677 0.000 S
0.000 1.677 3.268 N
1.677 0.000 3.268 N

***

# 4
Np3SbTe6, optimized geometry, DFT PBE; symmetry = Cmc2_1 (36); calculated density = 8.0 g cm⁻³; energy = -6.61 eV/atom; density of states at the Fermi level = 28.61 states/eV/f.u.
1.0
5.878 -7.654 0.000
5.878 7.654 0.000
0.000 0.000 7.369
Np Sb Te
6 2 12
Cartesian
5.878 6.185 3.685 Np
3.938 1.598 4.398 Np
3.938 -1.598 0.714 Np
7.818 1.598 4.398 Np
7.818 -1.598 0.714 Np
5.878 -6.185 0.000 Np
5.878 2.750 1.636 Sb
5.878 -2.750 5.321 Sb
3.603 4.250 2.670 Te
2.049 0.513 2.136 Te
2.049 -0.513 5.821 Te
5.878 3.734 5.610 Te
8.153 4.250 2.670 Te
5.878 0.453 6.746 Te
5.878 -0.453 3.062 Te
3.603 -4.250 6.354 Te
5.878 -3.734 1.925 Te
9.707 0.513 2.136 Te
9.707 -0.513 5.821 Te
8.153 -4.250 6.354 Te

***

# 5
TlCd5Hg3, optimized geometry, DFT PBE; symmetry = P6_3/mcm (193); calculated density = 10.0 g cm⁻³; DFT formation energy = 0.29 eV/f.u.; density of states at the Fermi level = 1.75 states/eV/f.u.
1.0
9.151 0.000 0.000
-4.576 7.925 0.000
0.000 0.000 6.237
Tl Cd Hg
2 10 6
Cartesian
0.000 0.000 0.000 Tl
0.000 0.000 3.118 Tl
-1.529 2.648 1.559 Cd
-3.047 5.278 4.678 Cd
0.000 5.283 0.000 Cd
0.000 5.283 3.118 Cd
3.057 0.000 1.559 Cd
1.529 2.648 4.678 Cd
6.094 0.000 4.678 Cd
3.047 5.278 1.559 Cd
4.576 2.642 0.000 Cd
4.576 2.642 3.118 Cd
-1.555 2.694 4.678 Hg
-3.020 5.232 1.559 Hg
3.110 0.000 4.678 Hg
1.555 2.694 1.559 Hg
6.041 0.000 1.559 Hg
3.020 5.232 4.678 Hg

***

# 6
InAg3O, optimized geometry, DFT PBE; symmetry = Pm-3m (221); calculated density = 7.9 g cm⁻³; energy relative to the lowest polymorph listed for this composition = 0.0 kJ/mol of atoms; density of states at the Fermi level = 0.99 states/eV/f.u.
1.0
4.576 0.000 0.000
0.000 4.576 0.000
0.000 0.000 4.576
In Ag O
1 3 1
Cartesian
0.000 0.000 0.000 In
0.000 2.288 2.288 Ag
2.288 0.000 2.288 Ag
2.288 2.288 0.000 Ag
2.288 2.288 2.288 O

***

# 7
LiZr4Sc3S8, optimized geometry, DFT PBE; symmetry = R-3m (166); calculated density = 4.5 g cm⁻³; energy = -7.12 eV/atom; density of states at the Fermi level = 8.64 states/eV/f.u.
1.0
3.659 2.113 6.116
-3.659 2.113 6.116
0.000 -4.225 6.116
Li Zr Sc S
1 4 3 8
Cartesian
0.000 0.000 0.000 Li
-3.659 0.000 9.174 Zr
-1.830 1.056 3.058 Zr
1.830 1.056 3.058 Zr
0.000 0.000 9.174 Zr
-1.830 -1.056 6.116 Sc
-1.830 1.056 12.232 Sc
0.000 2.113 6.116 Sc
0.000 -2.145 7.583 S
-1.857 1.072 7.583 S
-1.857 -1.072 10.765 S
0.000 0.000 4.632 S
0.000 0.000 13.716 S
1.857 1.072 7.583 S
1.857 -1.072 10.765 S
0.000 2.145 10.765 S

***

# 8
Er3Mn2Co7, optimized geometry, DFT PBE; symmetry = R-3m (166); calculated density = 9.8 g cm⁻³; DFT formation energy = -2.18 eV/f.u.; density of states at the Fermi level = 14.13 states/eV/f.u.
1.0
2.536 1.464 7.799
-2.536 1.464 7.799
0.000 -2.928 7.799
Er Mn Co
3 2 7
Cartesian
0.000 0.000 0.000 Er
0.000 0.000 3.287 Er
0.000 0.000 20.109 Er
0.000 0.000 7.810 Mn
0.000 0.000 15.585 Mn
-1.275 -0.736 9.720 Co
0.000 -1.472 13.676 Co
-1.275 0.736 13.676 Co
0.000 0.000 11.698 Co
1.275 -0.736 9.720 Co
0.000 1.472 9.720 Co
1.275 0.736 13.676 Co